Material: MgCoSi3
Method: DFT, PBE-GGA
State: optimized geometry

Lattice parameters (Å, degrees): 4.4145 4.4145 4.4145 90.00 90.00 90.00
Space group Pm-3m (No. 221)
Inequivalent atoms, fractional coordinates:
Mg  0.0000  0.0000  0.0000 (multiplicity 1)
Co  0.5000  0.5000  0.5000 (multiplicity 1)
Si  0.0000  0.5000  0.5000 (multiplicity 3)

Values from the calculation:
Total magnetic moment ... 0.00 μB/f.u.
Uncorrected formation energy ... 127 kJ/mol of formula units
VASP energy ... -23.6 eV/f.u.


Material: Mg2CoSi
Method: DFT, PBE-GGA
State: optimized geometry

Lattice parameters (Å, degrees): 3.9727 3.9727 7.4322 90.00 90.00 90.00
Space group I-4m2 (No. 119)
Inequivalent atoms, fractional coordinates:
Mg  0.0000  0.0000  0.0000 (multiplicity 2)
Mg  0.0000  0.5000  0.2500 (multiplicity 2)
Co  0.0000  0.0000  0.5000 (multiplicity 2)
Si  0.0000  0.5000  0.7500 (multiplicity 2)

Values from the calculation:
Total magnetic moment ... 0.00 μB/f.u.
Uncorrected formation energy ... 2 kJ/mol of formula units
VASP energy ... -15.7 eV/f.u.


Material: Mg3CoSi
Method: DFT, PBE-GGA
State: optimized geometry

Lattice parameters (Å, degrees): 4.9304 4.9304 4.9304 90.00 90.00 90.00
Space group Pm-3m (No. 221)
Inequivalent atoms, fractional coordinates:
Mg  0.0000  0.0000  0.5000 (multiplicity 3)
Co  0.5000  0.5000  0.5000 (multiplicity 1)
Si  0.0000  0.0000  0.0000 (multiplicity 1)

Values from the calculation:
Offset from the most stable computed form ... 0.168 eV per atom
Total magnetic moment ... 1.39 μB/f.u.
Uncorrected formation energy ... 352 kJ/mol of formula units
VASP energy ... -13.7 eV/f.u.


Material: MgCoSi
Method: DFT, PBE-GGA
State: optimized geometry

Lattice parameters (Å, degrees): 5.6711 5.6711 5.6711 90.00 90.00 90.00
Space group F-43m (No. 216)
Inequivalent atoms, fractional coordinates:
Mg  0.0000  0.0000  0.0000 (multiplicity 4)
Co  0.2500  0.2500  0.2500 (multiplicity 4)
Si  0.0000  0.0000  0.5000 (multiplicity 4)

Values from the calculation:
Total magnetic moment ... 0.00 μB/f.u.
Uncorrected formation energy ... -21 kJ/mol of formula units
VASP energy ... -14.3 eV/f.u.


Material: Mg2CoSi
Method: DFT, PBE-GGA
State: optimized geometry

Lattice parameters (Å, degrees): 3.9181 3.1947 10.2757 90.00 90.00 90.00
Space group Amm2 (No. 38)
Inequivalent atoms, fractional coordinates:
Mg  0.0000  0.0000  0.0000 (multiplicity 2)
Mg  0.5000  0.0000  0.3276 (multiplicity 2)
Co  0.0000  0.0000  0.7187 (multiplicity 2)
Si  0.5000  0.0000  0.6104 (multiplicity 2)

Values from the calculation:
Total magnetic moment ... 0.00 μB/f.u.
Uncorrected formation energy ... -36 kJ/mol of formula units
VASP energy ... -16.1 eV/f.u.


Material: Mg2CoSi
Method: DFT, PBE-GGA
State: optimized geometry

Lattice parameters (Å, degrees): 3.9197 3.9197 3.9144 90.00 90.00 90.00
Space group P4/mmm (No. 123)
Inequivalent atoms, fractional coordinates:
Mg  0.0000  0.5000  0.0000 (multiplicity 2)
Co  0.0000  0.0000  0.5000 (multiplicity 1)
Si  0.5000  0.5000  0.5000 (multiplicity 1)

Values from the calculation:
Total magnetic moment ... 0.58 μB/f.u.
Uncorrected formation energy ... 17 kJ/mol of formula units
VASP energy ... -15.5 eV/f.u.


Material: Mg2CoSi
Method: DFT, PBE-GGA
State: optimized geometry

Lattice parameters (Å, degrees): 9.6601 3.3336 4.4150 90.00 116.96 90.00
Space group Cm (No. 8)
Inequivalent atoms, fractional coordinates:
Mg  0.0000  0.0000  0.0000 (multiplicity 2)
Mg  0.2171  0.0000  0.7171 (multiplicity 2)
Co  0.4493  0.0000  0.4491 (multiplicity 2)
Si  0.2793  0.5000  0.2799 (multiplicity 2)

Values from the calculation:
Total magnetic moment ... 0.00 μB/f.u.
Uncorrected formation energy ... -26 kJ/mol of formula units
VASP energy ... -16.0 eV/f.u.


Material: Mg2CoSi
Method: DFT, PBE-GGA
State: optimized geometry

Lattice parameters (Å, degrees): 5.4353 8.0331 2.8178 90.00 90.00 90.00
Space group Cmmm (No. 65)
Inequivalent atoms, fractional coordinates:
Mg  0.2500  0.2500  0.0000 (multiplicity 4)
Co  0.0000  0.0000  0.5000 (multiplicity 2)
Si  0.0000  0.5000  0.5000 (multiplicity 2)

Values from the calculation:
Total magnetic moment ... 0.89 μB/f.u.
Uncorrected formation energy ... 52 kJ/mol of formula units
VASP energy ... -15.2 eV/f.u.